FeCo2Rh | the Alexandria database | meta-GGA SCAN | PBEsol geometry; energy above the most stable polymorph in this dataset = 0 meV/atom; DOS(E_F) = 2.626 states/eV per cell; energy of formation from the pure elements = -0.117 eV/atom; space group = No. 123; total magnetic moment = 7.6 μB/f.u.
1.0
2.7942 0.0000 0.0000
0.0000 2.7942 0.0000
0.0000 0.0000 5.9502
Co Fe Rh
2 1 1
Cartesian
0.0000 0.0000 1.3548 Co
0.0000 0.0000 4.5955 Co
1.3971 1.3971 0.0000 Fe
1.3971 1.3971 2.9751 Rh